# 1
Density functional theory data (GGA-PBE) for crystalline NpU2S6 at its relaxed geometry.

Values from the calculation:
Energy (eV/atom): -8.00
E above lowest polymorph (meV/atom): 0.0

Unit cell a=4.0691 b=7.2336 c=7.2336 alpha=120.00 beta=90.00 gamma=90.00
Fractional coordinates of all 9 atoms:
Np 0.5000 0.0000 0.0000
U 0.2572 0.6667 0.3333
U 0.7428 0.3333 0.6667
S 0.2448 0.6179 0.6998
S 0.2448 0.0819 0.3821
S 0.2448 0.3002 0.9181
S 0.7552 0.3821 0.3002
S 0.7552 0.9181 0.6179
S 0.7552 0.6998 0.0819

=====

# 2
Density functional theory data (GGA-PBE) for crystalline Np3U3S10 at its relaxed geometry.

Values from the calculation:
Energy (eV/atom): -8.49

Unit cell a=6.1379 b=7.8587 c=7.8587 alpha=120.00 beta=90.00 gamma=90.00
Fractional coordinates of all 16 atoms:
Np 0.0000 0.0000 0.6116
Np 0.0000 0.6116 0.0000
Np 0.0000 0.3884 0.3884
U 0.5000 0.0000 0.3907
U 0.5000 0.3908 0.0000
U 0.5000 0.6093 0.6092
S 0.2527 0.6667 0.3333
S 0.2527 0.3333 0.6667
S 0.7473 0.3333 0.6667
S 0.7473 0.6667 0.3333
S 0.5000 0.0000 0.7461
S 0.5000 0.7461 0.0000
S 0.5000 0.2539 0.2539
S 0.0000 0.0000 0.2566
S 0.0000 0.2566 0.0000
S 0.0000 0.7434 0.7434

=====

# 3
Density functional theory data (GGA-PBE) for crystalline NpUS2 at its relaxed geometry.

Values from the calculation:
Energy (eV/atom): -9.34
E above lowest polymorph (meV/atom): 149.5

Unit cell a=4.0498 b=3.7350 c=11.1544 alpha=99.64 beta=90.00 gamma=90.00
Fractional coordinates of all 8 atoms:
Np 0.2500 0.1875 0.3749
Np 0.7500 0.8125 0.6251
U 0.2500 0.4364 0.8728
U 0.7500 0.5636 0.1272
S 0.7500 0.6879 0.3758
S 0.2500 0.3121 0.6242
S 0.7500 0.9390 0.8779
S 0.2500 0.0610 0.1221

=====

# 4
Density functional theory data (GGA-PBE) for crystalline NpUS at its relaxed geometry.

Values from the calculation:
Energy (eV/atom): -9.82
E above lowest polymorph (meV/atom): 60.5

Unit cell a=4.5485 b=7.0058 c=7.2255 alpha=90.00 beta=90.00 gamma=90.00
Fractional coordinates of all 12 atoms:
U 0.2500 0.2389 0.5529
U 0.7500 0.7611 0.4471
U 0.7500 0.7389 0.9471
U 0.2500 0.2611 0.0529
Np 0.2500 0.5861 0.3951
Np 0.2500 0.9139 0.8951
Np 0.7500 0.0861 0.1049
Np 0.7500 0.4139 0.6049
S 0.7500 0.0450 0.7064
S 0.7500 0.4550 0.2064
S 0.2500 0.5450 0.7936
S 0.2500 0.9550 0.2936

=====

# 5
Density functional theory data (GGA-PBE) for crystalline NpU5S6 at its relaxed geometry.

Values from the calculation:
Energy (eV/atom): -9.22

Unit cell a=6.7183 b=6.7183 c=6.6441 alpha=99.67 beta=99.67 gamma=119.73
Fractional coordinates of all 12 atoms:
Np 0.0000 0.0000 0.0000
S 0.4145 0.0826 0.2484
S 0.9174 0.5855 0.7516
S 0.2482 0.2482 0.7501
S 0.7518 0.7518 0.2499
S 0.0826 0.4145 0.2484
S 0.5855 0.9174 0.7516
U 0.8325 0.1675 0.5000
U 0.6663 0.3337 0.0000
U 0.5000 0.5000 0.5000
U 0.3337 0.6663 0.0000
U 0.1675 0.8325 0.5000

=====

# 6
Density functional theory data (GGA-PBE) for crystalline NpUS2 at its relaxed geometry.

Values from the calculation:
Energy (eV/atom): -9.35
E above lowest polymorph (meV/atom): 142.1

Unit cell a=3.7303 b=3.7303 c=7.3805 alpha=75.36 beta=75.36 gamma=60.00
Fractional coordinates of all 4 atoms:
Np 0.4961 0.4961 0.5118
U 0.6699 0.6699 0.9904
S 0.0822 0.0822 0.7535
S 0.2519 0.2519 0.2443